La2MgW: relaxed, PBE.

The space group is P4/mmm (No. 123) and the conventional cell measures 3.524, 3.524 and 8.962 Å, with angles of 90.00, 90.00 and 90.00 degrees. The inequivalent atoms are La at (0.000, 0.000, 0.208), Mg at (0.500, 0.500, 0.500) and W at (0.500, 0.500, 0.000).

Its total magnetization is 0.000 μB/atom. The calculation puts the energy of formation from the pure elements at 0.385 eV per atom. The value obtained for the offset from the most stable computed form is 0.00 eV/f.u. For the density of states at the Fermi level, the calculation gives 1.1101 states/eV/atom.